RbHg2TeAs: optimized geometry, GGA-PBE.

Geometry as CIF:
```
data_RbHg2TeAs
_chemical_formula_sum 'Rb1 Hg2 Te1 As1'
_cell_length_a 5.8289
_cell_length_b 5.8289
_cell_length_c 5.6814
_cell_angle_alpha 90.00
_cell_angle_beta 90.00
_cell_angle_gamma 90.00
_space_group_name_H-M_alt 'P 4/m m m'
_space_group_IT_number 123
_space_group_name_Hall '-P 4 2'
loop_
_atom_site_label
_atom_site_type_symbol
_atom_site_fract_x
_atom_site_fract_y
_atom_site_fract_z
Rb1 Rb 0.0000 0.0000 0.0000
Hg1 Hg 0.0000 0.5000 0.5000
Te1 Te 0.5000 0.5000 0.5000
As1 As 0.5000 0.5000 0.0000
```

Properties
Distance to the lowest polymorph of the same formula: 7.440 kcal/mol of atoms

=====

RbHg2Te4As: optimized geometry, GGA-PBE.

Geometry as CIF:
```
data_RbHg2Te4As
_chemical_formula_sum 'Rb2 Hg4 Te8 As2'
_cell_length_a 7.3338
_cell_length_b 9.1894
_cell_length_c 9.5697
_cell_angle_alpha 90.00
_cell_angle_beta 90.00
_cell_angle_gamma 90.00
_space_group_name_H-M_alt 'I 2 2 2'
_space_group_IT_number 23
loop_
_space_group_symop_operation_xyz
'x,y,z'
'-x,-y,z'
'x,-y,-z'
'-x,y,-z'
'x+1/2,y+1/2,z+1/2'
'-x+1/2,-y+1/2,z+1/2'
'x+1/2,-y+1/2,-z+1/2'
'-x+1/2,y+1/2,-z+1/2'
loop_
_atom_site_label
_atom_site_type_symbol
_atom_site_fract_x
_atom_site_fract_y
_atom_site_fract_z
Rb1 Rb 0.0000 0.0000 0.0000
Hg1 Hg 0.0000 0.5000 0.1722
Te1 Te 0.2127 0.1831 0.3302
As1 As 0.0000 0.0000 0.5000
```

Properties
DFT total energy: -2.590 eV/atom

=====

RbHg2TeAs: optimized geometry, GGA-PBE.

Geometry as CIF:
```
data_RbHg2TeAs
_chemical_formula_sum 'Rb1 Hg2 Te1 As1'
_cell_length_a 5.5225
_cell_length_b 5.5225
_cell_length_c 5.9917
_cell_angle_alpha 90.00
_cell_angle_beta 90.00
_cell_angle_gamma 90.00
_space_group_name_H-M_alt 'P 4/m m m'
_space_group_IT_number 123
_space_group_name_Hall '-P 4 2'
loop_
_atom_site_label
_atom_site_type_symbol
_atom_site_fract_x
_atom_site_fract_y
_atom_site_fract_z
Rb1 Rb 0.0000 0.0000 0.0000
Hg1 Hg 0.0000 0.5000 0.5000
Te1 Te 0.5000 0.5000 0.0000
As1 As 0.5000 0.5000 0.5000
```

Properties
Distance to the lowest polymorph of the same formula: 0.000 kcal/mol of atoms